The following is a DFT calculation (PBE-GGA) of a relaxed structure of Ho2Er8Cd.

```
11
Lattice="9.5733 -2.7447 0.0000 9.5733 2.7447 0.0000 -0.5731 0.0000 6.2923" Properties=species:S:1:pos:R:3 pbc="T T T"
Ho 4.4671 0.0000 2.0949
Ho 14.1065 0.0000 4.1974
Er 0.7135 0.0000 1.6664
Er 2.4917 0.0000 5.0528
Er 6.0003 0.0000 5.5097
Er 7.8397 0.0000 2.5261
Er 10.7338 0.0000 3.7662
Er 12.5733 0.0000 0.7826
Er 16.0819 0.0000 1.2395
Er 17.8601 0.0000 4.6258
Cd 9.5733 0.0000 0.0000
```

Calculated formation energy, eV/f.u.: -0.2
SG: No. 12
Fermi-level density of states, states/eV/cell: 16.10

---

The following is a DFT calculation (PBE-GGA) of a relaxed structure of CaAsP.

```
3
Lattice="0.0000 3.3399 3.3399 3.3399 0.0000 3.3399 3.3399 3.3399 0.0000" Properties=species:S:1:pos:R:3 pbc="T T T"
Ca 0.0000 0.0000 0.0000
As 1.6699 1.6699 1.6699
P 5.0098 5.0098 5.0098
```

Calculated formation energy, eV/f.u.: -0.1
SG: No. 216
Fermi-level density of states, states/eV/cell: 2.93
ΔE to the lowest computed polymorph, eV per atom: 0.6769